Compound: RbFeHF6
Source: the Alexandria database
Functional: GGA+U
Structure: optimized geometry

* space group: P1
* crystal system: triclinic
* volume: 16.3 Å³ per atom
* electronic total energy: -4.4950 eV/atom

Lattice parameters (Å, degrees): 5.834 5.535 5.537 93.56 88.25 55.71
Each line ends with the local moment (μB).
Element x y z (fractional)
1 F 0.380 0.961 0.633  0.08
2 F 0.510 0.089 0.206  0.03
3 F 0.381 0.634 0.355  0.07
4 F 0.028 0.456 0.410  0.03
5 F 0.724 0.152 0.579  0.03
6 F 0.237 0.509 0.791  0.04
7 Fe 0.375 0.301 0.498  3.79
8 Rb 0.976 0.104 0.034  0.00
9 H 0.388 0.793 0.494  0.00